Entry 1:
{
  "formula": "YOs",
  "functional": "PBE-GGA",
  "state": "relaxed",
  "lattice_angstrom": [[1.6017, -1.2704, 5.6311], [4.2627, -0.4554, 4.1844], [0.3566, 6.2309, 4.1660]],
  "species": ["Y", "Y", "Y", "Os", "Os", "Os"],
  "frac_coords": [[0.6919, 0.6919, 0.6225], [0.9866, 0.9866, 0.4368], [0.7172, 0.7172, 0.0481], [0.0009, 0.0009, 0.0106], [0.4324, 0.4324, 0.7880], [0.3377, 0.3377, 0.2606]],
  "dft_energy_ev_per_cell": -52.6
}

=====

Entry 2:
{
  "formula": "YOs",
  "functional": "PBE-GGA",
  "state": "relaxed",
  "lattice_angstrom": [[-0.8483, -5.7619, -1.0227], [2.1230, -5.3248, -1.4507], [1.5882, -4.6073, 6.3188]],
  "species": ["Y", "Y", "Y", "Os", "Os", "Os"],
  "frac_coords": [[0.9525, 0.9525, 0.5020], [0.6390, 0.6390, 0.7222], [0.3257, 0.3257, 0.9421], [0.9879, 0.9879, 0.1155], [0.6390, 0.6390, 0.2218], [0.2892, 0.2892, 0.3297]],
  "dft_energy_ev_per_cell": -51.9
}

=====

Entry 3:
{
  "formula": "YOs",
  "functional": "PBE-GGA",
  "state": "relaxed",
  "lattice_angstrom": [[8.3944, 0.0000, 0.0000], [-4.1972, 7.2698, 0.0000], [0.0000, 0.0000, 4.5485]],
  "species": ["Y", "Y", "Y", "Y", "Y", "Y", "Os", "Os", "Os", "Os", "Os", "Os"],
  "frac_coords": [[0.8149, 0.6299, 0.2500], [0.1851, 0.8149, 0.7500], [0.3701, 0.1851, 0.2500], [0.1851, 0.3701, 0.7500], [0.8149, 0.1851, 0.2500], [0.6299, 0.8149, 0.7500], [0.4359, 0.8719, 0.2500], [0.5641, 0.4359, 0.7500], [0.1281, 0.5641, 0.2500], [0.5641, 0.1281, 0.7500], [0.4359, 0.5641, 0.2500], [0.8719, 0.4359, 0.7500]],
  "dft_energy_ev_per_cell": -106.9
}

=====

Entry 4:
{
  "formula": "Y5Os3",
  "functional": "PBE-GGA",
  "state": "relaxed",
  "lattice_angstrom": [[1.8535, 2.0245, -5.6360], [-5.6381, -2.6594, -0.6618], [-2.0693, 4.1825, 0.8219]],
  "species": ["Y", "Y", "Y", "Y", "Y", "Os", "Os", "Os"],
  "frac_coords": [[0.0000, 0.0000, 0.0000], [0.5000, 0.0000, 0.0000], [0.0000, 0.5000, 0.0000], [0.7163, 0.7163, 0.5000], [0.2837, 0.2837, 0.5000], [0.5000, 0.5000, 0.0000], [0.7775, 0.2225, 0.5000], [0.2225, 0.7775, 0.5000]],
  "de_polymorph_mev_per_atom": 176,
  "dft_energy_ev_per_cell": -65.9
}

=====

Entry 5:
{
  "formula": "YOs2",
  "functional": "PBE-GGA",
  "state": "relaxed",
  "lattice_angstrom": [[2.8192, 5.1129, 1.1812], [-4.1593, 3.7036, 2.1140], [1.3468, -5.5519, 1.6875]],
  "species": ["Y", "Y", "Os", "Os", "Os", "Os"],
  "frac_coords": [[0.7500, 0.7500, 0.0000], [0.2500, 0.2500, 0.0000], [0.1777, 0.6777, 0.8554], [0.3223, 0.1777, 0.5000], [0.6777, 0.8223, 0.5000], [0.8223, 0.3223, 0.1446]],
  "dft_energy_ev_per_cell": -57.0
}

=====

Entry 6:
{
  "formula": "YOs3",
  "functional": "PBE-GGA",
  "state": "relaxed",
  "lattice_angstrom": [[-1.6291, -0.5754, 3.6819], [-2.5713, -4.4246, -1.8293], [5.3305, -3.8257, 1.7607]],
  "species": ["Y", "Y", "Os", "Os", "Os", "Os", "Os", "Os"],
  "frac_coords": [[0.0000, 0.0000, 0.4277], [0.5000, 0.5000, 0.5723], [0.5000, 0.0000, 0.7754], [0.0000, 0.5000, 0.2246], [0.0000, 0.2741, 0.8733], [0.0000, 0.7259, 0.8733], [0.5000, 0.7741, 0.1267], [0.5000, 0.2259, 0.1267]],
  "dft_energy_ev_per_cell": -78.8
}

=====

Entry 7:
{
  "formula": "YOs",
  "functional": "PBE-GGA",
  "state": "relaxed",
  "lattice_angstrom": [[5.8466, 0.0000, 0.0000], [0.0000, 6.7234, 0.0000], [0.0000, 0.0000, 8.9320]],
  "species": ["Y", "Y", "Y", "Y", "Y", "Y", "Y", "Y", "Os", "Os", "Os", "Os", "Os", "Os", "Os", "Os"],
  "frac_coords": [[0.1838, 0.2500, 0.3506], [0.6838, 0.2500, 0.1494], [0.8162, 0.7500, 0.6494], [0.3162, 0.7500, 0.8506], [0.0138, 0.2500, 0.7090], [0.5138, 0.2500, 0.7910], [0.9862, 0.7500, 0.2910], [0.4862, 0.7500, 0.2090], [0.1862, 0.4292, 0.0403], [0.6862, 0.0708, 0.4597], [0.8138, 0.9292, 0.9597], [0.3138, 0.5708, 0.5403], [0.8138, 0.5708, 0.9597], [0.3138, 0.9292, 0.5403], [0.1862, 0.0708, 0.0403], [0.6862, 0.4292, 0.4597]],
  "dft_energy_ev_per_cell": -141.6
}

=====

Entry 8:
{
  "formula": "Y2Os",
  "functional": "PBE-GGA",
  "state": "relaxed",
  "lattice_angstrom": [[-1.6937, 1.6937, 13.6773], [1.6937, -1.6937, 13.6773], [1.6937, 1.6937, -13.6773]],
  "species": ["Y", "Y", "Y", "Y", "Os", "Os"],
  "frac_coords": [[0.3108, 0.8108, 0.5000], [0.1892, 0.6892, 0.5000], [0.5608, 0.5608, 0.0000], [0.4392, 0.4392, 0.0000], [0.0000, 0.0000, 0.0000], [0.7500, 0.2500, 0.5000]],
  "dft_energy_ev_per_cell": -49.3
}

=====

Entry 9:
{
  "formula": "Y2Os",
  "functional": "PBE-GGA",
  "state": "relaxed",
  "lattice_angstrom": [[4.7896, 0.0000, 0.0000], [0.0000, 4.7932, 0.0000], [0.0000, 0.0000, 6.7846]],
  "species": ["Y", "Y", "Y", "Y", "Os", "Os"],
  "frac_coords": [[0.0000, 0.5002, 0.2499], [0.5000, 0.0002, 0.2501], [0.5000, 0.9998, 0.7499], [0.0000, 0.4998, 0.7501], [0.0000, 0.0000, 0.0000], [0.5000, 0.5000, 0.5000]],
  "dft_energy_ev_per_cell": -49.3
}

=====

Entry 10:
{
  "formula": "YOs2",
  "functional": "PBE-GGA",
  "state": "relaxed",
  "lattice_angstrom": [[2.8721, 0.0000, 0.0000], [-1.4360, 2.4873, 0.0000], [0.0000, 0.0000, 7.3646]],
  "species": ["Os", "Os", "Y"],
  "frac_coords": [[0.0000, 0.0000, 0.9719], [0.3333, 0.6667, 0.6948], [0.6667, 0.3333, 0.3333]],
  "dft_energy_ev_per_cell": -27.2
}